Compound: Tb3Pm8Pr
Source: Alexandria
Functional: PBE-GGA
Structure: relaxed

The space group is C2 (No. 5) and the conventional cell measures 16.0576, 6.3707 and 11.0180 Å, with angles of 90.00, 133.20 and 90.00 degrees. The inequivalent atoms are Tb at (0.0000, 0.0000, 0.0000), Tb at (0.2487, 0.6714, 0.2488), Pm at (0.0001, 0.0025, 0.3338), Pm at (0.9998, 0.5040, 0.1645), Pm at (0.2484, 0.1703, 0.4147), Pm at (0.2486, 0.1704, 0.0823) and Pr at (0.0000, 0.4993, 0.5000).

The calculation puts the total magnetization at 0.000 μB per atom. The density of states at the Fermi level is 41.60 states/eV/cell. Its formation energy is 0.028 eV per atom. The electronic total energy comes out at -112.7 eV/cell.